Record 1
# Nd3Dy2In7

Nd3Dy2In7 after structural relaxation (PBE, the Alexandria database).

D(E_F) = 10.08 states/eV per cell
mass density = 7.24 g/cm³
formation energy from the elements = -234 meV/atom

abc: 12.8704 12.8704 5.4458
angles: 90.00 90.00 156.61
Last column: nearest neighbours and their distance in Å.
Sites, in units of the cell vectors:
1 Nd 0.0000 0.0000 0.0000  8 In 3.30-3.32
2 Nd 0.1589 0.8411 0.0000  6 In 3.22-3.45
3 Nd 0.8411 0.1589 0.0000  6 In 3.22-3.45
4 Dy 0.3556 0.6444 0.5000  7 In 3.14-3.35
5 Dy 0.6444 0.3556 0.5000  7 In 3.14-3.35
6 In 0.0750 0.9250 0.5000  2 Dy 3.14, 2 In 3.22, 4 Nd 3.32-3.45
7 In 0.2275 0.7725 0.5000  2 In 2.85
8 In 0.4201 0.5799 0.0000  2 Dy 3.17, 4 Nd 3.28-3.30, 2 In 3.39
9 In 0.5000 0.5000 0.5000  8 In 3.22-3.39
10 In 0.5799 0.4201 0.0000  2 Dy 3.17, 4 Nd 3.28-3.30, 2 In 3.39
11 In 0.7725 0.2275 0.5000  2 In 2.85
12 In 0.9250 0.0750 0.5000  2 Dy 3.14, 2 In 3.22, 4 Nd 3.32-3.45


Record 2
# CaSbAu2

CaSbAu2 after structural relaxation (PBE, the Alexandria database).

D(E_F) = 4.71 states/eV per cell
E_form (uncorrected) = -0.4357 eV/atom
mass density = 9.95 g/cm³

abc: 4.2297 4.2743 10.2565
angles: 90.00 90.00 90.00
Last column: nearest neighbours and their distance in Å.
Sites, in units of the cell vectors:
1 Ca 0.0000 0.0000 0.0000  8 Au 3.03-3.39, 4 Sb 3.27-3.39
2 Ca 0.5000 0.5000 0.5000  8 Au 3.03-3.39, 4 Sb 3.27-3.39
3 Sb 0.0000 0.5000 0.2565  6 Au 3.01-3.07, 2 Ca 3.27
4 Sb 0.5000 0.0000 0.7565  6 Au 3.01-3.07, 2 Ca 3.27
5 Au 0.0000 0.0000 0.5401  4 Ca 3.03, 2 Sb 3.07, 2 Au 3.09
6 Au 0.0000 0.5000 0.7579  4 Sb 3.01, 2 Au 3.09, 2 Ca 3.28
7 Au 0.5000 0.0000 0.2579  4 Sb 3.01, 2 Au 3.09, 2 Ca 3.28
8 Au 0.5000 0.5000 0.0401  4 Ca 3.03, 2 Sb 3.07, 2 Au 3.09


Record 3
# Zn2RuC

Zn2RuC after structural relaxation (PBE, the Alexandria database).

D(E_F) = 9.67 states/eV per cell
mass density = 7.59 g/cm³
formation energy from the elements = 634 meV/atom

abc: 7.2735 7.2735 4.0351
angles: 90.00 90.00 90.00
Last column: nearest neighbours and their distance in Å.
Sites, in units of the cell vectors:
1 Zn 0.1497 0.2500 0.1250  2 C 2.18
2 Zn 0.2500 0.6497 0.3750  2 C 2.18
3 Zn 0.2500 0.8503 0.8750  2 C 2.18
4 Zn 0.3503 0.2500 0.6250  2 C 2.18
5 Zn 0.6497 0.7500 0.6250  2 C 2.18
6 Zn 0.7500 0.1497 0.8750  2 C 2.18
7 Zn 0.7500 0.3503 0.3750  2 C 2.18
8 Zn 0.8503 0.7500 0.1250  2 C 2.18
9 Ru 0.0000 0.0000 0.5000  2 C 2.02
10 Ru 0.0000 0.5000 0.7500  2 C 2.02
11 Ru 0.5000 0.0000 0.2500  2 C 2.02
12 Ru 0.5000 0.5000 0.0000  2 C 2.02
13 C 0.0000 0.0000 0.0000  2 Ru 2.02, 4 Zn 2.18
14 C 0.0000 0.5000 0.2500  2 Ru 2.02, 4 Zn 2.18
15 C 0.5000 0.0000 0.7500  2 Ru 2.02, 4 Zn 2.18
16 C 0.5000 0.5000 0.5000  2 Ru 2.02, 4 Zn 2.18


Record 4
# NdHo2Ru

NdHo2Ru after structural relaxation (PBE, the Alexandria database).

D(E_F) = 13.95 states/eV per cell
mass density = 8.76 g/cm³
ΔE to the lowest computed polymorph = 13.8 meV/atom
formation energy from the elements = -273 meV/atom

abc: 3.9082 12.1734 9.1644
angles: 90.00 90.00 90.00
Last column: nearest neighbours and their distance in Å.
Sites, in units of the cell vectors:
1 Nd 0.0000 0.0738 0.2500  2 Ru 2.86
2 Nd 0.0000 0.9262 0.7500  2 Ru 2.86
3 Nd 0.5000 0.4262 0.7500  2 Ru 2.86
4 Nd 0.5000 0.5738 0.2500  2 Ru 2.86
5 Ho 0.0000 0.3542 0.0692  3 Ru 2.88-3.17
6 Ho 0.0000 0.3542 0.4308  3 Ru 2.88-3.17
7 Ho 0.0000 0.6458 0.5692  3 Ru 2.88-3.17
8 Ho 0.0000 0.6458 0.9308  3 Ru 2.88-3.17
9 Ho 0.5000 0.1458 0.5692  3 Ru 2.88-3.17
10 Ho 0.5000 0.1458 0.9308  3 Ru 2.88-3.17
11 Ho 0.5000 0.8542 0.0692  3 Ru 2.88-3.17
12 Ho 0.5000 0.8542 0.4308  3 Ru 2.88-3.17
13 Ru 0.0000 0.2546 0.7500  2 Nd 2.86, 6 Ho 2.88-3.17
14 Ru 0.0000 0.7454 0.2500  2 Nd 2.86, 6 Ho 2.88-3.17
15 Ru 0.5000 0.2454 0.2500  2 Nd 2.86, 6 Ho 2.88-3.17
16 Ru 0.5000 0.7546 0.7500  2 Nd 2.86, 6 Ho 2.88-3.17


Record 5
# Zr3NiPd

Zr3NiPd after structural relaxation (PBE, the Alexandria database).

D(E_F) = 10.37 states/eV per cell
mass density = 6.55 g/cm³
ΔE to the lowest computed polymorph = 0.0 meV/atom
formation energy from the elements = 221 meV/atom

abc: 4.8098 4.8098 4.8098
angles: 90.00 90.00 90.00
Last column: nearest neighbours and their distance in Å.
Sites, in units of the cell vectors:
1 Zr 0.0000 0.0000 0.5000  2 Ni 2.40
2 Zr 0.0000 0.5000 0.0000  2 Ni 2.40
3 Zr 0.5000 0.0000 0.0000  2 Ni 2.40
4 Ni 0.0000 0.0000 0.0000  6 Zr 2.40
5 Pd 0.5000 0.5000 0.5000  12 Zr 3.40


Record 6
# Re5Os2

Re5Os2 after structural relaxation (PBE, the Alexandria database).

D(E_F) = 7.85 states/eV per cell
mass density = 20.39 g/cm³
ΔE to the lowest computed polymorph = 270.4 meV/atom
formation energy from the elements = 350 meV/atom

abc: 9.8304 4.4350 4.9867
angles: 90.00 100.66 90.00
Last column: nearest neighbours and their distance in Å.
Sites, in units of the cell vectors:
1 Re 0.0000 0.0000 0.0000  6 Re 2.52-2.67, 2 Os 2.55
2 Re 0.0737 0.5000 0.2890  7 Re 2.67-2.98, 1 Os 2.86
3 Re 0.1334 0.0000 0.6149  4 Re 2.52-2.75, 3 Os 2.59-2.72
4 Re 0.3666 0.5000 0.3851  4 Re 2.52-2.75, 3 Os 2.59-2.72
5 Re 0.4263 0.0000 0.7110  7 Re 2.67-2.98, 1 Os 2.86
6 Re 0.5000 0.5000 0.0000  6 Re 2.52-2.67, 2 Os 2.55
7 Re 0.5737 0.0000 0.2890  7 Re 2.67-2.98, 1 Os 2.86
8 Re 0.6334 0.5000 0.6149  4 Re 2.52-2.75, 3 Os 2.59-2.72
9 Re 0.8666 0.0000 0.3851  4 Re 2.52-2.75, 3 Os 2.59-2.72
10 Re 0.9263 0.5000 0.7110  7 Re 2.67-2.98, 1 Os 2.86
11 Os 0.2395 0.5000 0.8248  5 Re 2.55-2.84, 2 Os 2.81
12 Os 0.2605 0.0000 0.1752  5 Re 2.55-2.84, 2 Os 2.81
13 Os 0.7395 0.0000 0.8248  5 Re 2.55-2.84, 2 Os 2.81
14 Os 0.7605 0.5000 0.1752  5 Re 2.55-2.84, 2 Os 2.81


Record 7
# TbEuGd2

TbEuGd2 after structural relaxation (PBE, the Alexandria database).

D(E_F) = 7.35 states/eV per cell
mass density = 7.68 g/cm³
ΔE to the lowest computed polymorph = 77.3 meV/atom
formation energy from the elements = 118 meV/atom

abc: 5.9517 5.9517 3.8165
angles: 90.00 90.00 90.00
Last column: nearest neighbours and their distance in Å.
Sites, in units of the cell vectors:
1 Tb 0.0000 0.0000 0.0000  8 Gd 3.54, 2 Tb 3.82
2 Eu 0.5000 0.5000 0.0000  8 Gd 3.54, 2 Eu 3.82
3 Gd 0.0000 0.5000 0.5000  4 Tb 3.54, 4 Eu 3.54, 2 Gd 3.82
4 Gd 0.5000 0.0000 0.5000  4 Tb 3.54, 4 Eu 3.54, 2 Gd 3.82


Record 8
# Rb2ReSeBr6

Rb2ReSeBr6 after structural relaxation (PBE, the Alexandria database).

D(E_F) = 5.81 states/eV per cell
E_form (uncorrected) = -0.6284 eV/atom
mass density = 4.19 g/cm³

abc: 7.8956 7.8956 7.8956
angles: 116.75 116.75 95.73
Last column: nearest neighbours and their distance in Å.
Sites, in units of the cell vectors:
1 Rb 0.2500 0.7500 0.5000  12 Br 3.97-4.14
2 Rb 0.7500 0.2500 0.5000  12 Br 3.97-4.14
3 Re 0.0000 0.0000 0.0000  6 Br 2.54-2.60
4 Se 0.5000 0.5000 0.0000  2 Br 2.70
5 Br 0.2170 0.2170 0.4341  1 Re 2.54
6 Br 0.2170 0.7830 0.0000  1 Re 2.54
7 Br 0.2455 0.2455 0.0000  1 Re 2.60, 1 Se 2.70
8 Br 0.7545 0.7545 0.0000  1 Re 2.60, 1 Se 2.70
9 Br 0.7830 0.2170 0.0000  1 Re 2.54
10 Br 0.7830 0.7830 0.5659  1 Re 2.54


Record 9
# ThPN2

ThPN2 after structural relaxation (PBE, the Alexandria database).

D(E_F) = 5.41 states/eV per cell
E_form (uncorrected) = -1.0556 eV/atom
mass density = 8.21 g/cm³
ΔE to the lowest computed polymorph = 0.0 meV/atom

abc: 10.0438 4.1834 5.6033
angles: 90.00 90.00 90.00
Last column: nearest neighbours and their distance in Å.
Sites, in units of the cell vectors:
1 Th 0.1611 0.2500 0.0479  5 N 2.37-2.60
2 Th 0.3389 0.7500 0.5479  5 N 2.37-2.60
3 Th 0.6611 0.2500 0.4521  5 N 2.37-2.60
4 Th 0.8389 0.7500 0.9521  5 N 2.37-2.60
5 P 0.0364 0.7500 0.5163  2 N 1.68-1.69
6 P 0.4636 0.2500 0.0163  2 N 1.68-1.69
7 P 0.5364 0.7500 0.9837  2 N 1.68-1.69
8 P 0.9636 0.2500 0.4837  2 N 1.68-1.69
9 N 0.1100 0.7500 0.7869  1 P 1.69
10 N 0.1494 0.7500 0.2951  1 P 1.68
11 N 0.3506 0.2500 0.7951  1 P 1.68
12 N 0.3900 0.2500 0.2869  1 P 1.69
13 N 0.6100 0.7500 0.7131  1 P 1.69
14 N 0.6494 0.7500 0.2049  1 P 1.68
15 N 0.8506 0.2500 0.7049  1 P 1.68
16 N 0.8900 0.2500 0.2131  1 P 1.69